# 1
Here is a relaxed PmAgBi crystal from OQMD. Energies are from PBE.

- volume (Å³ per cell) = 95
- ΔE to the lowest computed polymorph (meV/atom) = 165
- calculated total energy (eV for the cell shown) = -12.38

Unit cell a=5.127 b=5.127 c=5.127 alpha=60.00 beta=60.00 gamma=60.00
Element x y z (fractional)
1 Pm 0.000 0.000 0.000
2 Ag 0.750 0.750 0.750
3 Bi 0.250 0.250 0.250


# 2
Here is a relaxed FeSnPt2 crystal from OQMD. Energies are from PBE.

- volume (Å³ per cell) = 63
- calculated total energy (eV for the cell shown) = -24.92

Unit cell a=4.469 b=4.469 c=4.469 alpha=60.00 beta=60.00 gamma=60.00
Element x y z (fractional)
1 Fe 0.000 0.000 0.000
2 Sn 0.750 0.750 0.750
3 Pt 0.250 0.250 0.250
4 Pt 0.500 0.500 0.500


# 3
Here is a relaxed DyMgAgSeS2 crystal from OQMD. Energies are from PBE.

- volume (Å³ per cell) = 263
- calculated total energy (eV for the cell shown) = -55.07

Unit cell a=6.706 b=6.706 c=10.764 alpha=90.00 beta=90.00 gamma=147.11
Element x y z (fractional)
1 Dy 0.000 0.000 0.000
2 Dy 0.000 0.000 0.500
3 Mg 0.218 0.782 0.750
4 Mg 0.782 0.218 0.250
5 Ag 0.484 0.516 0.250
6 Ag 0.516 0.484 0.750
7 Se 0.126 0.874 0.250
8 Se 0.874 0.126 0.750
9 S 0.359 0.641 0.074
10 S 0.359 0.641 0.426
11 S 0.641 0.359 0.574
12 S 0.641 0.359 0.926


# 4
Here is a relaxed HoGaNiPt crystal from OQMD. Energies are from PBE.

- volume (Å³ per cell) = 141
- ΔE to the lowest computed polymorph (meV/atom) = 14
- calculated total energy (eV for the cell shown) = -44.98

Unit cell a=4.270 b=4.270 c=8.898 alpha=90.00 beta=90.00 gamma=120.00
Element x y z (fractional)
1 Ho 0.333 0.667 0.240
2 Ho 0.667 0.333 0.760
3 Ga 0.000 0.000 0.000
4 Ga 0.000 0.000 0.500
5 Ni 0.333 0.667 0.931
6 Ni 0.667 0.333 0.069
7 Pt 0.333 0.667 0.596
8 Pt 0.667 0.333 0.404